The following is a meta-GGA SCAN calculation of a PBEsol-optimized structure of Zr3GeCl, from Alexandria via LeMat-Bulk.

abc: 4.6806 4.6806 4.6806
angles: 90.00 90.00 90.00
Positions (direct):
1 Zr 0.0000 0.0000 0.5000
2 Zr 0.0000 0.5000 0.0000
3 Zr 0.5000 0.0000 0.0000
4 Ge 0.5000 0.5000 0.5000
5 Cl 0.0000 0.0000 0.0000

## Properties
The total energy comes out at -119.44 eV per formula unit. The formation energy (no corrections) is -0.05 eV/atom. The density of states at the Fermi level is 0.94 states/eV per atom. As for the crystal system: cubic.

---

The following is a meta-GGA SCAN calculation of a PBEsol-optimized structure of ReW2Cl, from Alexandria via LeMat-Bulk.

abc: 2.8214 4.1117 5.4299
angles: 90.00 104.62 90.00
Positions (direct):
1 Re 0.0000 0.0000 0.0000
2 W 0.4340 0.5000 0.7552
3 W 0.5660 0.5000 0.2448
4 Cl 0.5000 0.0000 0.5000

## Properties
The total energy comes out at -215.25 eV per formula unit. The value obtained for the distance to the lowest polymorph of the same formula is 285 meV per atom. The formation energy (no corrections) is 0.80 eV/atom. The density of states at the Fermi level is 0.59 states/eV per atom. As for the crystal system: monoclinic.

---

The following is a meta-GGA SCAN calculation of a PBEsol-optimized structure of TlHCl2, from Alexandria via LeMat-Bulk.

abc: 6.6442 6.6442 6.6442
angles: 43.05 43.05 43.05
Positions (direct):
1 Tl 0.0000 0.0000 0.0000
2 H 0.5000 0.5000 0.5000
3 Cl 0.4140 0.4140 0.4140
4 Cl 0.5860 0.5860 0.5860

## Properties
The total energy comes out at -94.83 eV per formula unit. The density of states at the Fermi level is 0.00 states/eV per atom. As for the crystal system: trigonal.